Density functional theory data (PBE with a Hubbard U) for an optimized crystal structure of FeReI2O.

Geometry as POSCAR:
```
FeReI2O
1.0
5.6364 0.0000 0.0000
0.0000 5.6364 0.0000
0.0000 0.0000 3.7820
Fe Re I O
1 1 2 1
Direct
0.0000 0.0000 0.0000 Fe
0.5000 0.5000 0.5000 Re
0.0000 0.5000 0.5000 I
0.5000 0.0000 0.5000 I
0.5000 0.5000 0.0000 O
```

The distance to the lowest polymorph of the same formula is 0.000 eV/f.u. The volume comes out at 24.03 Å³/atom.